AgMo3C after structural relaxation, computed with GGA-PBE.

Properties
- energy (eV/cell) = -25.892
- E above lowest polymorph (eV per atom) = 3.413
- space group = Pm-3m, No. 221
- M_tot (μB per cell) = 0.0
- formation energy (eV per formula unit) = 18.7

```
5
Lattice="4.7810 0.0000 0.0000 0.0000 4.7810 0.0000 0.0000 0.0000 4.7810" Properties=species:S:1:pos:R:3 pbc="T T T"
Ag 0.0000 0.0000 0.0000
Mo 0.0000 0.0000 2.3905
Mo 0.0000 2.3905 0.0000
Mo 2.3905 0.0000 0.0000
C 2.3905 2.3905 2.3905
```

***

Ag3MoC after structural relaxation, computed with GGA-PBE.

Properties
- energy (eV/cell) = -21.628
- E above lowest polymorph (eV per atom) = 0.000
- space group = Pm-3m, No. 221
- M_tot (μB per cell) = 0.0
- formation energy (eV per formula unit) = 7.0

```
5
Lattice="4.2901 0.0000 0.0000 0.0000 4.2901 0.0000 0.0000 0.0000 4.2901" Properties=species:S:1:pos:R:3 pbc="T T T"
Ag 0.0000 0.0000 2.1450
Ag 0.0000 2.1450 0.0000
Ag 2.1450 0.0000 0.0000
Mo 2.1450 2.1450 2.1450
C 0.0000 0.0000 0.0000
```

***

Ag3MoC after structural relaxation, computed with GGA-PBE.

Properties
- energy (eV/cell) = -14.061
- E above lowest polymorph (eV per atom) = 1.513
- space group = Pm-3m, No. 221
- M_tot (μB per cell) = 3.1
- formation energy (eV per formula unit) = 14.5

```
5
Lattice="5.1275 0.0000 0.0000 0.0000 5.1275 0.0000 0.0000 0.0000 5.1275" Properties=species:S:1:pos:R:3 pbc="T T T"
Ag 0.0000 0.0000 2.5637
Ag 0.0000 2.5637 0.0000
Ag 2.5637 0.0000 0.0000
Mo 0.0000 0.0000 0.0000
C 2.5637 2.5637 2.5637
```

***

AgMo2C after structural relaxation, computed with GGA-PBE.

Properties
- energy (eV/cell) = -32.043
- space group = R-3m, No. 166
- M_tot (μB per cell) = 0.0
- formation energy (eV per formula unit) = 1.7

```
4
Lattice="1.5009 0.8666 8.0471 -1.5009 0.8666 8.0471 0.0000 -1.7331 8.0471" Properties=species:S:1:pos:R:3 pbc="T T T"
Ag 0.0000 0.0000 0.0000
Mo 0.0000 0.0000 2.8586
Mo 0.0000 0.0000 21.2828
C 0.0000 0.0000 12.0707
```

***

Ag2MoC after structural relaxation, computed with GGA-PBE.

Properties
- energy (eV/cell) = -41.747
- space group = I-42d, No. 122
- M_tot (μB per cell) = 0.1
- formation energy (eV per formula unit) = 4.9

```
8
Lattice="-3.9033 3.9033 2.1105 3.9033 -3.9033 2.1105 3.9033 3.9033 -2.1105" Properties=species:S:1:pos:R:3 pbc="T T T"
Ag 5.8549 1.1165 -0.5276
Ag 1.1165 1.9516 0.5276
Ag -1.9516 2.7868 1.5829
Ag 2.7868 1.9516 2.6381
Mo 3.9033 0.0000 1.0552
Mo 0.0000 0.0000 2.1105
C 0.0000 0.0000 0.0000
C 0.0000 3.9033 1.0552
```

***

AgMo3C after structural relaxation, computed with GGA-PBE.

Properties
- energy (eV/cell) = -42.956
- E above lowest polymorph (eV per atom) = 0.000
- space group = Pm-3m, No. 221
- M_tot (μB per cell) = 0.0
- formation energy (eV per formula unit) = 1.6

```
5
Lattice="4.1769 0.0000 0.0000 0.0000 4.1769 0.0000 0.0000 0.0000 4.1769" Properties=species:S:1:pos:R:3 pbc="T T T"
Ag 0.0000 0.0000 0.0000
Mo 0.0000 2.0884 2.0884
Mo 2.0884 0.0000 2.0884
Mo 2.0884 2.0884 0.0000
C 2.0884 2.0884 2.0884
```

***

AgMo2C after structural relaxation, computed with GGA-PBE.

Properties
- energy (eV/cell) = -58.494
- space group = I-42d, No. 122
- M_tot (μB per cell) = 0.0
- formation energy (eV per formula unit) = 4.5

```
8
Lattice="-2.4804 2.4804 5.8138 2.4804 -2.4804 5.8138 2.4804 2.4804 -5.8138" Properties=species:S:1:pos:R:3 pbc="T T T"
Ag 0.0000 0.0000 0.0000
Ag 0.0000 2.4804 2.9069
Mo 1.2402 -0.6058 4.3603
Mo 1.8747 1.2402 1.4534
Mo 1.2402 3.0862 -1.4534
Mo 0.6058 1.2402 7.2672
C 2.4804 0.0000 2.9069
C 0.0000 0.0000 5.8138
```

***

Nb2AgMoC after structural relaxation, computed with GGA-PBE.

Properties
- energy (eV/cell) = -41.015
- space group = P4/mmm, No. 123
- M_tot (μB per cell) = 0.0
- formation energy (eV per formula unit) = 2.0

```
5
Lattice="4.3453 0.0000 0.0000 0.0000 4.3453 0.0000 0.0000 0.0000 4.1437" Properties=species:S:1:pos:R:3 pbc="T T T"
Nb 0.0000 2.1727 0.0000
Nb 2.1727 0.0000 0.0000
Ag 0.0000 0.0000 2.0718
Mo 2.1727 2.1727 2.0718
C 0.0000 0.0000 0.0000
```

***

NbAgMo2C after structural relaxation, computed with GGA-PBE.

Properties
- energy (eV/cell) = -28.865
- space group = P4/mmm, No. 123
- M_tot (μB per cell) = 0.0
- formation energy (eV per formula unit) = 14.9

```
5
Lattice="4.6864 0.0000 0.0000 0.0000 4.6864 0.0000 0.0000 0.0000 5.1061" Properties=species:S:1:pos:R:3 pbc="T T T"
Nb 0.0000 0.0000 0.0000
Ag 0.0000 0.0000 2.5531
Mo 0.0000 2.3432 0.0000
Mo 2.3432 0.0000 0.0000
C 2.3432 2.3432 2.5531
```

***

Question: M_tot of number 8 (Nb2AgMoC)?
Answer: 0.0 μB per cell

***

Please write out number 3 again, unchanged.
Ag3MoC after structural relaxation, computed with GGA-PBE.

Properties
- energy (eV/cell) = -14.061
- E above lowest polymorph (eV per atom) = 1.513
- space group = Pm-3m, No. 221
- M_tot (μB per cell) = 3.1
- formation energy (eV per formula unit) = 14.5

```
5
Lattice="5.1275 0.0000 0.0000 0.0000 5.1275 0.0000 0.0000 0.0000 5.1275" Properties=species:S:1:pos:R:3 pbc="T T T"
Ag 0.0000 0.0000 2.5637
Ag 0.0000 2.5637 0.0000
Ag 2.5637 0.0000 0.0000
Mo 0.0000 0.0000 0.0000
C 2.5637 2.5637 2.5637
```